The following is a PBE-GGA calculation of a geometry-optimized LaMo2Ru structure, from Alexandria.

Unit cell a=6.5649 b=6.5649 c=6.5649 alpha=90.00 beta=90.00 gamma=90.00
Space group Fm-3m (No. 225)
Inequivalent atoms, fractional coordinates:
La (0.0000, 0.0000, 0.0000)
Mo (0.2500, 0.2500, 0.2500)
Ru (0.0000, 0.0000, 0.5000)

Output
The calculation puts the energy above the most stable polymorph in this dataset at 182 meV/atom. The calculation puts the raw total energy at -135.978 eV/cell. The value obtained for the density of states at the Fermi level is 0.615 states/eV/atom. Its magnetization is 0.00 μB/cell. Its mass density is 10.1 Mg/m³.


The following is a PBE-GGA calculation of a geometry-optimized LaMo3Ru structure, from Alexandria.

Unit cell a=4.6857 b=4.6857 c=4.6857 alpha=90.00 beta=90.00 gamma=90.00
Space group Pm-3m (No. 221)
Inequivalent atoms, fractional coordinates:
La (0.0000, 0.0000, 0.0000)
Mo (0.0000, 0.0000, 0.5000)
Ru (0.5000, 0.5000, 0.5000)

Output
The calculation puts the energy above the most stable polymorph in this dataset at 1413 meV/atom. The calculation puts the raw total energy at -34.492 eV/cell. The value obtained for the density of states at the Fermi level is 1.009 states/eV/atom. Its magnetization is 0.00 μB/cell. Its mass density is 8.5 Mg/m³.


The following is a PBE-GGA calculation of a geometry-optimized LaMo2Ru structure, from Alexandria.

Unit cell a=2.8931 b=2.8931 c=8.8843 alpha=90.00 beta=90.00 gamma=90.00
Space group P4/mmm (No. 123)
Inequivalent atoms, fractional coordinates:
La (0.0000, 0.0000, 0.0000)
Mo (0.5000, 0.5000, 0.2997)
Ru (0.0000, 0.0000, 0.5000)

Output
The calculation puts the energy above the most stable polymorph in this dataset at 156 meV/atom. The calculation puts the raw total energy at -34.100 eV/cell. The value obtained for the density of states at the Fermi level is 1.356 states/eV/atom. Its magnetization is 0.00 μB/cell. Its mass density is 9.6 Mg/m³.


The following is a PBE-GGA calculation of a geometry-optimized LaMo2Ru structure, from Alexandria.

Unit cell a=5.4284 b=9.6554 c=2.9161 alpha=90.00 beta=107.98 gamma=90.00
Space group C2/m (No. 12)
Inequivalent atoms, fractional coordinates:
La (0.0000, 0.0000, 0.0000)
Mo (0.2500, 0.2500, 0.5000)
Ru (0.0000, 0.5000, 0.0000)

Output
The calculation puts the energy above the most stable polymorph in this dataset at 231 meV/atom. The calculation puts the raw total energy at -67.600 eV/cell. The value obtained for the density of states at the Fermi level is 1.065 states/eV/atom. Its magnetization is 0.00 μB/cell. Its mass density is 9.9 Mg/m³.


The following is a PBE-GGA calculation of a geometry-optimized LaMo2Ru structure, from Alexandria.

Unit cell a=3.8213 b=3.8213 c=5.2040 alpha=90.00 beta=90.00 gamma=90.00
Space group P4/mmm (No. 123)
Inequivalent atoms, fractional coordinates:
La (0.0000, 0.0000, 0.0000)
Mo (0.0000, 0.5000, 0.5000)
Ru (0.5000, 0.5000, 0.0000)

Output
The calculation puts the energy above the most stable polymorph in this dataset at 281 meV/atom. The calculation puts the raw total energy at -33.600 eV/cell. The value obtained for the density of states at the Fermi level is 1.150 states/eV/atom. Its magnetization is 0.00 μB/cell. Its mass density is 9.4 Mg/m³.


The following is a PBE-GGA calculation of a geometry-optimized LaMo2Ru structure, from Alexandria.

Unit cell a=2.9162 b=2.9162 c=29.8125 alpha=90.00 beta=90.00 gamma=120.00
Space group R-3m (No. 166, hexagonal axes)
Inequivalent atoms, fractional coordinates:
La (0.0000, 0.0000, 0.0000)
Mo (0.0000, 0.0000, 0.2374)
Ru (0.0000, 0.0000, 0.5000)

Output
The calculation puts the energy above the most stable polymorph in this dataset at 345 meV/atom. The calculation puts the raw total energy at -100.024 eV/cell. The value obtained for the density of states at the Fermi level is 1.866 states/eV/atom. Its magnetization is 0.00 μB/cell. Its mass density is 9.8 Mg/m³.


The following is a PBE-GGA calculation of a geometry-optimized LaMo2Ru structure, from Alexandria.

Unit cell a=5.2210 b=9.7542 c=2.9121 alpha=90.00 beta=90.00 gamma=90.00
Space group Cmmm (No. 65)
Inequivalent atoms, fractional coordinates:
La (0.0000, 0.0000, 0.0000)
Mo (0.2500, 0.2500, 0.5000)
Ru (0.0000, 0.5000, 0.0000)

Output
The calculation puts the energy above the most stable polymorph in this dataset at 357 meV/atom. The calculation puts the raw total energy at -66.587 eV/cell. The value obtained for the density of states at the Fermi level is 1.529 states/eV/atom. Its magnetization is 0.00 μB/cell. Its mass density is 9.7 Mg/m³.


The following is a PBE-GGA calculation of a geometry-optimized LaMo2Ru structure, from Alexandria.

Unit cell a=3.1989 b=5.1603 c=9.1775 alpha=90.00 beta=90.00 gamma=90.00
Space group Imm2 (No. 44)
Inequivalent atoms, fractional coordinates:
La (0.0000, 0.0000, 0.0000)
Mo (0.0000, 0.0000, 0.4941)
Mo (0.0000, 0.5000, 0.7766)
Ru (0.0000, 0.5000, 0.2296)

Output
The calculation puts the energy above the most stable polymorph in this dataset at 214 meV/atom. The calculation puts the raw total energy at -67.738 eV/cell. The value obtained for the density of states at the Fermi level is 1.194 states/eV/atom. Its magnetization is 0.00 μB/cell. Its mass density is 9.5 Mg/m³.


The following is a PBE-GGA calculation of a geometry-optimized La2Mo4Ru structure, from Alexandria.

Unit cell a=4.7876 b=4.7876 c=14.5963 alpha=90.00 beta=90.00 gamma=90.00
Space group I4/mmm (No. 139)
Inequivalent atoms, fractional coordinates:
La (0.0000, 0.0000, 0.1464)
Mo (0.0000, 0.0000, 0.3353)
Mo (0.0000, 0.5000, 0.0000)
Ru (0.0000, 0.0000, 0.5000)

Output
The calculation puts the raw total energy at -108.415 eV/cell. The value obtained for the density of states at the Fermi level is 1.373 states/eV/atom. Its magnetization is 0.44 μB/cell. Its mass density is 7.6 Mg/m³.


The following is a PBE-GGA calculation of a geometry-optimized LaMo2Ru structure, from Alexandria.

Unit cell a=9.3940 b=3.1602 c=5.7751 alpha=90.00 beta=108.76 gamma=90.00
Space group Cm (No. 8)
Inequivalent atoms, fractional coordinates:
La (0.0000, 0.0000, 0.0000)
Mo (0.0095, 0.5000, 0.5134)
Mo (0.2901, 0.5000, 0.3407)
Ru (0.2393, 0.0000, 0.6770)

Output
The calculation puts the energy above the most stable polymorph in this dataset at 110 meV/atom. The calculation puts the raw total energy at -68.568 eV/cell. The value obtained for the density of states at the Fermi level is 0.943 states/eV/atom. Its magnetization is 0.00 μB/cell. Its mass density is 8.8 Mg/m³.


The following is a PBE-GGA calculation of a geometry-optimized La3MoRu structure, from Alexandria.

Unit cell a=5.3566 b=5.3566 c=5.3566 alpha=90.00 beta=90.00 gamma=90.00
Space group Pm-3m (No. 221)
Inequivalent atoms, fractional coordinates:
La (0.0000, 0.0000, 0.5000)
Mo (0.5000, 0.5000, 0.5000)
Ru (0.0000, 0.0000, 0.0000)

Output
The calculation puts the energy above the most stable polymorph in this dataset at 0 meV/atom. The calculation puts the raw total energy at -31.784 eV/cell. The value obtained for the density of states at the Fermi level is 1.997 states/eV/atom. Its magnetization is 0.00 μB/cell. Its mass density is 6.6 Mg/m³.


The following is a PBE-GGA calculation of a geometry-optimized LaMo3Ru structure, from Alexandria.

Unit cell a=4.8104 b=4.8104 c=4.8104 alpha=90.00 beta=90.00 gamma=90.00
Space group Pm-3m (No. 221)
Inequivalent atoms, fractional coordinates:
La (0.0000, 0.0000, 0.0000)
Mo (0.0000, 0.5000, 0.5000)
Ru (0.5000, 0.5000, 0.5000)

Output
The calculation puts the energy above the most stable polymorph in this dataset at 0 meV/atom. The calculation puts the raw total energy at -41.557 eV/cell. The value obtained for the density of states at the Fermi level is 0.870 states/eV/atom. Its magnetization is 2.13 μB/cell. Its mass density is 7.9 Mg/m³.


no.,ΔH_f (0 K) (eV/f.u.)
1,1.87
2,12.20
3,1.77
4,2.07
5,2.27
6,2.52
7,2.57
8,2.00
9,8.25
10,1.58
11,3.11
12,5.14